12
Lattice="3.139 -5.436 0.000 3.139 5.436 0.000 -2.085 0.000 11.673" Properties=species:S:1:pos:R:3 comment="GGA-PBE Nd6DyY2Ho3, optimized geometry" final_energy_ev_per_atom=-4.979 dos_ef_per_ev_fu=13.51 e_form_kcal_per_mol_atoms=0.2 pbc="T T T"
Nd 0.004 1.808 8.768
Nd 1.043 0.000 2.904
Nd 0.004 -1.808 8.768
Nd 4.188 1.808 2.905
Nd 3.149 0.000 8.769
Nd 4.188 -1.808 2.905
Dy -1.043 0.000 5.836
Y 2.096 1.811 5.836
Y 2.096 -1.811 5.836
Ho 3.139 3.623 0.000
Ho 3.139 0.000 0.000
Ho 3.139 -3.623 0.000

6
Lattice="-2.042 2.042 7.271 2.042 -2.042 7.271 2.042 2.042 -7.271" Properties=species:S:1:pos:R:3 comment="GGA-PBE ThSi2IrPd2, optimized geometry" final_energy_ev_per_atom=-6.919 dos_ef_per_ev_fu=3.87 raw_formation_energy_mev_per_atom=-667 pbc="T T T"
Th 0.000 0.000 0.000
Si 0.000 0.000 4.940
Si 0.000 0.000 9.603
Ir 0.000 0.000 7.271
Pd 2.042 0.000 3.636
Pd 0.000 2.042 3.636

4
Lattice="-1.912 1.912 3.895 1.912 -1.912 3.895 1.912 1.912 -3.895" Properties=species:S:1:pos:R:3 comment="GGA-PBE Cu2RhAu, optimized geometry" final_energy_ev_per_atom=-4.629 dos_ef_per_ev_fu=3.95 e_form_kcal_per_mol_atoms=1.7 pbc="T T T"
Cu 0.000 0.000 0.000
Cu 0.000 1.912 1.947
Rh 1.912 0.000 1.947
Au 0.000 0.000 3.895

9
Lattice="3.991 0.000 0.000 0.000 3.991 0.000 0.000 0.000 10.488" Properties=species:S:1:pos:R:3 comment="GGA-PBE HoCdP2Rh5, optimized geometry" final_energy_ev_per_atom=-6.389 dos_ef_per_ev_fu=5.49 e_form_kcal_per_mol_atoms=-11.3 pbc="T T T"
Ho 0.000 0.000 0.000
Cd 0.000 0.000 5.244
P 1.996 1.996 2.253
P 1.996 1.996 8.235
Rh 0.000 1.996 3.302
Rh 0.000 1.996 7.186
Rh 1.996 0.000 3.302
Rh 1.996 0.000 7.186
Rh 1.996 1.996 0.000

9
Lattice="7.374 0.000 0.000 -3.687 6.386 0.000 0.000 0.000 3.056" Properties=species:S:1:pos:R:3 comment="GGA-PBE Mg3Ga3PdRu2, optimized geometry" final_energy_ev_per_atom=-4.442 dos_ef_per_ev_fu=5.41 e_form_kcal_per_mol_atoms=-6.1 pbc="T T T"
Mg -2.646 4.584 0.000
Mg 1.041 1.803 0.000
Mg 5.293 0.000 0.000
Ga -1.448 2.508 1.528
Ga 2.896 0.000 1.528
Ga 2.239 3.878 1.528
Pd 0.000 0.000 1.528
Ru 0.000 4.257 0.000
Ru 3.687 2.129 0.000

4
Lattice="2.821 0.000 0.000 0.000 2.821 0.000 0.000 0.000 7.411" Properties=species:S:1:pos:R:3 comment="GGA-PBE AlFe2Hg, optimized geometry" final_energy_ev_per_atom=-5.103 dos_ef_per_ev_fu=2.85 e_form_kcal_per_mol_atoms=3.2 pbc="T T T"
Al 0.000 0.000 0.000
Fe 1.410 1.410 1.642
Fe 1.410 1.410 5.770
Hg 0.000 0.000 3.706

- What is the formula in the third record?
  Cu2RhAu